[1]
DFT (PBE) results for crystalline Ti2CoS4 at its relaxed geometry.

Cell and atoms, written as CIF:
```
data_Ti2CoS4
_cell_length_a 7.026
_cell_length_b 7.026
_cell_length_c 7.026
_cell_angle_alpha 60.00
_cell_angle_beta 60.00
_cell_angle_gamma 60.00
_symmetry_space_group_name_H-M 'P 1'
_symmetry_Int_Tables_number 1
_symmetry_space_group_name_Hall 'P 1'
loop_
_atom_site_label
_atom_site_type_symbol
_atom_site_fract_x
_atom_site_fract_y
_atom_site_fract_z
Ti1 Ti 0.000 0.000 0.000
Ti2 Ti 0.000 0.000 0.500
Ti3 Ti 0.000 0.500 0.000
Ti4 Ti 0.500 0.000 0.000
Co1 Co 0.375 0.375 0.375
Co2 Co 0.625 0.625 0.625
S1 S 0.242 0.753 0.753
S2 S 0.247 0.247 0.247
S3 S 0.247 0.247 0.758
S4 S 0.247 0.758 0.247
S5 S 0.753 0.242 0.753
S6 S 0.753 0.753 0.242
S7 S 0.753 0.753 0.753
S8 S 0.758 0.247 0.247
```

Calculated values
energy relative to the elements, uncorrected	-1077	meV per atom
total energy	-0.4929	Ry/atom
calculated density	3.8	g cm⁻³
excess energy over the best structure of this formula in the dataset	55.2	meV/atom
size of the total moment	0.1570	μB/atom
calculated volume	17.51	Å³ per atom

[2]
DFT (PBE) results for crystalline NaLiO2 at its relaxed geometry.

Cell and atoms, written as CIF:
```
data_NaLiO2
_cell_length_a 6.693
_cell_length_b 6.693
_cell_length_c 6.693
_cell_angle_alpha 146.50
_cell_angle_beta 146.50
_cell_angle_gamma 48.10
_symmetry_space_group_name_H-M 'P 1'
_symmetry_Int_Tables_number 1
_symmetry_space_group_name_Hall 'P 1'
loop_
_atom_site_label
_atom_site_type_symbol
_atom_site_fract_x
_atom_site_fract_y
_atom_site_fract_z
Na1 Na 0.000 0.000 0.000
Na2 Na 0.750 0.250 0.500
Li1 Li 0.250 0.750 0.500
Li2 Li 0.500 0.500 0.000
O1 O 0.311 0.625 0.186
O2 O 0.375 0.561 0.686
O3 O 0.439 0.125 0.814
O4 O 0.875 0.689 0.314
```

Calculated values
energy relative to the elements, uncorrected	-1009	meV per atom
total energy	-0.3158	Ry/atom
calculated density	2.3	g cm⁻³
excess energy over the best structure of this formula in the dataset	132.8	meV/atom
size of the total moment	0.0000	μB/atom
calculated volume	11.37	Å³ per atom

[3]
DFT (PBE) results for crystalline TlCd13 at its relaxed geometry.

Cell and atoms, written as CIF:
```
data_TlCd13
_cell_length_a 9.899
_cell_length_b 9.899
_cell_length_c 9.899
_cell_angle_alpha 60.00
_cell_angle_beta 60.00
_cell_angle_gamma 60.00
_symmetry_space_group_name_H-M 'P 1'
_symmetry_Int_Tables_number 1
_symmetry_space_group_name_Hall 'P 1'
loop_
_atom_site_label
_atom_site_type_symbol
_atom_site_fract_x
_atom_site_fract_y
_atom_site_fract_z
Tl1 Tl 0.250 0.250 0.250
Tl2 Tl 0.750 0.750 0.750
Cd1 Cd 0.000 0.000 0.000
Cd2 Cd 0.060 0.302 0.698
Cd3 Cd 0.060 0.698 0.940
Cd4 Cd 0.060 0.940 0.302
Cd5 Cd 0.198 0.440 0.802
Cd6 Cd 0.198 0.560 0.440
Cd7 Cd 0.198 0.802 0.560
Cd8 Cd 0.302 0.060 0.940
Cd9 Cd 0.302 0.698 0.060
Cd10 Cd 0.302 0.940 0.698
Cd11 Cd 0.440 0.198 0.560
Cd12 Cd 0.440 0.560 0.802
Cd13 Cd 0.440 0.802 0.198
Cd14 Cd 0.500 0.500 0.500
Cd15 Cd 0.560 0.198 0.802
Cd16 Cd 0.560 0.440 0.198
Cd17 Cd 0.560 0.802 0.440
Cd18 Cd 0.698 0.060 0.302
Cd19 Cd 0.698 0.302 0.940
Cd20 Cd 0.698 0.940 0.060
Cd21 Cd 0.802 0.198 0.440
Cd22 Cd 0.802 0.440 0.560
Cd23 Cd 0.802 0.560 0.198
Cd24 Cd 0.940 0.060 0.698
Cd25 Cd 0.940 0.302 0.060
Cd26 Cd 0.940 0.698 0.302
```

Calculated values
total energy	-0.0730	Ry/atom
calculated density	8.1	g cm⁻³
size of the total moment	0.0000	μB/atom
ΔH_f (0 K)	26	meV/atom
calculated volume	24.50	Å³ per atom

[4]
DFT (PBE) results for crystalline Mn2Hg3 at its relaxed geometry.

Cell and atoms, written as CIF:
```
data_Mn2Hg3
_cell_length_a 7.554
_cell_length_b 5.673
_cell_length_c 8.554
_cell_angle_alpha 60.17
_cell_angle_beta 40.65
_cell_angle_gamma 79.18
_symmetry_space_group_name_H-M 'P 1'
_symmetry_Int_Tables_number 1
_symmetry_space_group_name_Hall 'P 1'
loop_
_atom_site_label
_atom_site_type_symbol
_atom_site_fract_x
_atom_site_fract_y
_atom_site_fract_z
Mn1 Mn 0.269 0.731 0.329
Mn2 Mn 0.579 0.921 0.519
Mn3 Mn 0.731 0.269 0.671
Mn4 Mn 0.921 0.579 0.981
Hg1 Hg 0.106 0.793 0.100
Hg2 Hg 0.150 0.248 0.144
Hg3 Hg 0.248 0.150 0.457
Hg4 Hg 0.437 0.437 0.563
Hg5 Hg 0.687 0.687 0.813
Hg6 Hg 0.793 0.106 0.002
```

Calculated values
total energy	-0.2547	Ry/atom
calculated density	12.1	g cm⁻³
excess energy over the best structure of this formula in the dataset	75.1	meV/atom
size of the total moment	1.4936	μB/atom
ΔH_f (0 K)	384	meV/atom
calculated volume	19.51	Å³ per atom